Entry 1:
Entry from the Open Quantum Materials Database: LuNi after structural relaxation (PBE-GGA).

Unit cell a=4.1557 b=4.1557 c=4.1557 alpha=60.00 beta=60.00 gamma=60.00
With the nearest neighbours (Å) after each atom.
Element x y z (fractional)
Lu (0.0000, 0.0000, 0.0000)  4 Ni 2.54
Ni (0.2500, 0.2500, 0.2500)  4 Lu 2.54

Computed properties:
**Space-group type**: F-43m, No. 216
**E**: -4.60 eV/atom
**Energy of formation from the pure elements**: 42.91 kJ per mole of atoms


Entry 2:
Entry from the Open Quantum Materials Database: Lu3Ni after structural relaxation (PBE-GGA).

Unit cell a=6.6377 b=6.6377 c=4.8100 alpha=90.00 beta=90.00 gamma=120.00
With the nearest neighbours (Å) after each atom.
Element x y z (fractional)
Lu (0.1776, 0.8224, 0.2500)  4 Ni 3.00-3.32, 6 Lu 3.10-3.16
Lu (0.1776, 0.3552, 0.2500)  4 Ni 3.00-3.32, 6 Lu 3.10-3.16
Lu (0.8224, 0.6448, 0.7500)  4 Ni 3.00-3.32, 6 Lu 3.10-3.16
Lu (0.8224, 0.1776, 0.7500)  4 Ni 3.00-3.32, 6 Lu 3.10-3.16
Lu (0.6448, 0.8224, 0.2500)  4 Ni 3.00-3.32, 6 Lu 3.10-3.16
Lu (0.3552, 0.1776, 0.7500)  4 Ni 3.00-3.32, 6 Lu 3.10-3.16
Ni (0.3333, 0.6667, 0.7500)  12 Lu 3.00-3.32
Ni (0.6667, 0.3333, 0.2500)  12 Lu 3.00-3.32

Computed properties:
**Space-group type**: P6_3/mmc, No. 194
**E**: -4.78 eV/atom
**Energy of formation from the pure elements**: 0.20 kJ per mole of atoms


Entry 3:
Entry from the Open Quantum Materials Database: LuNi after structural relaxation (PBE-GGA).

Unit cell a=4.4458 b=4.4458 c=5.3669 alpha=90.00 beta=90.00 gamma=120.00
With the nearest neighbours (Å) after each atom.
Element x y z (fractional)
Lu (0.3333, 0.6667, 0.4385)  5 Ni 2.57-2.69
Lu (0.0000, 0.0000, 0.9385)  5 Ni 2.57-2.69
Ni (0.0000, 0.0000, 0.4365)  5 Lu 2.57-2.69
Ni (0.3333, 0.6667, 0.9365)  5 Lu 2.57-2.69

Computed properties:
**Space-group type**: P6_3mc, No. 186
**E**: -4.97 eV/atom
**Energy of formation from the pure elements**: 7.18 kJ per mole of atoms